Here is Y2OsC2 after structural relaxation from Alexandria. Energies are from GGA-PBEsol.

Cell and atoms, written as POSCAR:
```
Y2OsC2
1.0
6.3981 0.0000 0.0000
0.0000 5.0757 0.0000
0.0000 0.0000 9.7016
Y Os C
8 4 8
Direct
0.0270 0.2500 0.2192
0.1836 0.2500 0.5521
0.3164 0.7500 0.0521
0.4730 0.7500 0.7192
0.5270 0.2500 0.2808
0.6836 0.2500 0.9479
0.8164 0.7500 0.4479
0.9730 0.7500 0.7808
0.2242 0.2500 0.8654
0.2758 0.7500 0.3654
0.7242 0.2500 0.6346
0.7758 0.7500 0.1346
0.0393 0.7500 0.2421
0.1743 0.7500 0.5535
0.3257 0.2500 0.0535
0.4607 0.2500 0.7421
0.5393 0.7500 0.2579
0.6743 0.7500 0.9465
0.8257 0.2500 0.4465
0.9607 0.2500 0.7579
```

Output
The formation energy from the elements is -425 meV/atom. As for the crystal system: orthorhombic. The density of states at the Fermi level comes out at 9.117 states/eV per cell. The total energy comes out at -189.090 eV per cell.